1.
11
Lattice="4.707 -2.714 0.000 4.707 2.714 0.000 -3.172 0.000 11.903" Properties=species:S:1:pos:R:3 comment="Na8CdIn2 GGA-PBE optimized geometry" space_group="No. 12" pbc="T T T"
Na 3.109 0.000 10.818
Na -0.026 0.000 9.606
Na 3.133 0.000 1.085
Na 6.268 0.000 2.297
Na 6.260 0.000 5.529
Na 6.254 0.000 8.680
Na -0.012 0.000 3.223
Na -0.018 0.000 6.374
In 3.120 0.000 7.460
In 3.122 0.000 4.443
Cd 0.000 0.000 0.000

***

2.
8
Lattice="3.362 0.000 0.000 -1.681 2.911 0.000 0.000 0.000 14.331" Properties=species:S:1:pos:R:3 comment="Zr4TlSiC2 GGA-PBE optimized geometry" m_tot_mub_per_fu=0.0 space_group="No. 187" pbc="T T T"
Tl 0.000 0.000 0.000
Zr 1.681 0.970 2.534
Zr 0.000 0.000 9.276
Zr 1.681 0.970 11.798
Zr 0.000 0.000 5.055
C 0.000 1.941 3.757
C 0.000 1.941 10.575
Si 1.681 0.970 7.166

***

3.
16
Lattice="-3.627 1.381 -1.272 -0.857 -10.335 -8.777 -3.182 -3.871 4.869" Properties=species:S:1:pos:R:3 comment="BaCoS2 GGA-PBE optimized geometry" m_tot_mub_per_fu=2.4 space_group="No. 26" pbc="T T T"
Co -4.053 -5.679 -1.166
Co -2.646 -5.971 -5.492
Co -3.179 -8.151 -6.341
Co -4.303 -4.451 0.879
S -2.130 -1.687 -2.315
S -0.924 -7.567 -5.580
S -3.292 -5.642 -3.296
S -2.184 -5.506 0.248
S -3.816 -2.439 1.676
S -2.954 -9.297 -8.226
S -4.904 -7.828 -1.074
S -4.210 -9.525 -4.894
Ba -0.522 -4.186 -3.055
Ba -0.949 -1.958 0.580
Ba -2.315 -8.559 -2.691
Ba -3.249 -12.442 -4.245

***

4.
4
Lattice="-0.315 -4.213 -1.775 -3.508 -2.715 1.150 -3.262 -0.953 -3.074" Properties=species:S:1:pos:R:3 comment="SrCuReOs GGA-PBE optimized geometry" m_tot_mub_per_fu=0.0 space_group="No. 216" pbc="T T T"
Sr 0.000 0.000 0.000
Os -3.543 -3.940 -1.850
Re -1.771 -1.970 -0.925
Cu -5.314 -5.910 -2.775

***

5.
30
Lattice="-7.922 -4.485 2.185 4.162 -8.202 -1.744 1.476 -0.271 4.796" Properties=species:S:1:pos:R:3 comment="Al2Re3 GGA-PBE optimized geometry" m_tot_mub_per_fu=0.0 space_group="No. 136" pbc="T T T"
Al 2.513 -6.327 -1.131
Al -5.972 -4.993 4.189
Al -1.503 -5.071 0.176
Al -2.257 -7.615 0.265
Al 0.681 -4.724 2.156
Al -5.529 -3.853 1.484
Al 3.689 -7.965 1.048
Al 1.770 -8.833 -1.044
Al -0.577 -8.968 2.304
Al -1.707 -3.990 2.933
Al -2.964 -8.233 3.080
Al -6.272 -6.360 1.571
Re -3.104 -3.117 0.779
Re -1.994 -10.641 3.936
Re -4.652 -8.341 0.961
Re 0.434 -2.449 3.651
Re -4.074 -3.288 3.701
Re -2.906 -5.889 4.537
Re 0.623 -7.068 0.700
Re 0.892 -4.346 -0.520
Re -5.318 -7.483 3.847
Re -3.658 -5.751 2.092
Re 0.000 0.000 0.000
Re 3.034 -5.474 1.390
Re 1.791 -9.670 1.535
Re -0.655 -9.570 -0.339
Re -0.290 -2.316 1.300
Re 1.375 -7.206 3.145
Re -1.142 -6.479 2.618
Re -2.717 -10.508 1.585

***

6.
3
Lattice="0.000 4.138 4.138 4.138 0.000 4.138 4.138 4.138 0.000" Properties=species:S:1:pos:R:3 comment="CsSmTh GGA-PBE optimized geometry" m_tot_mub_per_fu=2.3 space_group="No. 216" pbc="T T T"
Sm 0.000 0.000 0.000
Th 6.208 6.208 6.208
Cs 2.069 2.069 2.069

***

| no. | calculated volume (Å³/atom) | uncorrected energy (eV per atom) | theoretical density (g cm⁻³) |
| --- | --- | --- | --- |
| 1 | 27.6 | -1.60 | 2.9 |
| 2 | 17.5 | -8.23 | 7.4 |
| 3 | 24.2 | -5.35 | 4.5 |
| 4 | 17.0 | -6.37 | 12.9 |
| 5 | 14.7 | -9.00 | 13.9 |
| 6 | 47.3 | -2.88 | 6.0 |